Below is a crystal of ZnMoIr relaxed with PBEsol, with properties calculated at the meta-GGA SCAN level.

```
6
Lattice="2.818 0.000 0.000 0.000 2.818 0.000 0.000 0.000 10.689" Properties=species:S:1:pos:R:3 pbc="T T T"
Zn 0.000 0.000 0.000
Zn 1.409 1.409 5.344
Mo 0.000 0.000 3.477
Mo 1.409 1.409 8.822
Ir 0.000 0.000 7.085
Ir 1.409 1.409 1.741
```

Computed properties:
Size of the total moment (μB/f.u.): 0.00
Space group: No. 107
Mass density (g/cm³): 13.8
Total energy (eV/f.u.): -120.136